1.
A PBEsol-optimized structure of LaMg12. Source: Alexandria, functional meta-GGA SCAN.

The structure in POSCAR format:
```
LaMg12
1.0
5.844 0.000 0.000
2.922 7.277 0.000
2.922 0.000 7.277
La Mg
1 12
Direct
0.000 0.000 0.000
0.000 0.500 0.000
0.500 0.500 0.000
0.000 0.000 0.500
0.500 0.000 0.500
0.000 0.352 0.648
0.000 0.648 0.352
0.648 0.352 0.352
0.352 0.648 0.648
0.500 0.787 0.213
0.500 0.213 0.787
0.713 0.787 0.787
0.287 0.213 0.213
```

DFT formation energy = -0.07 eV/atom
N(E_F) = 4.60 states/eV/cell
space-group type = No. 139
crystal system = tetragonal
total moment = 0.006 μB per atom
VASP energy = -7.98 eV per atom

2.
A PBEsol-optimized structure of La2Mg. Source: Alexandria, functional meta-GGA SCAN.

The structure in POSCAR format:
```
La2Mg
1.0
-3.298 1.062 -0.680
-1.690 -5.186 0.097
0.006 2.953 4.586
Mg La
1 2
Direct
0.000 0.000 0.000
0.686 0.333 0.667
0.314 0.667 0.333
```

DFT formation energy = -0.04 eV/atom
N(E_F) = 2.58 states/eV/cell
space-group type = No. 164
crystal system = trigonal
total moment = 0.000 μB per atom
offset from the most stable computed form = 49 meV/atom
VASP energy = -30.44 eV per atom

3.
A PBEsol-optimized structure of La2Mg. Source: Alexandria, functional meta-GGA SCAN.

The structure in POSCAR format:
```
La2Mg
1.0
-3.404 1.036 -1.079
-1.659 0.132 5.363
4.158 8.118 1.086
La Mg
4 2
Direct
0.612 0.750 0.224
0.933 0.750 0.866
0.067 0.250 0.134
0.388 0.250 0.776
0.271 0.750 0.542
0.729 0.250 0.458
```

DFT formation energy = 0.02 eV/atom
N(E_F) = 7.50 states/eV/cell
space-group type = No. 63
crystal system = orthorhombic
total moment = 0.008 μB per atom
offset from the most stable computed form = 112 meV/atom
VASP energy = -30.37 eV per atom

4.
A PBEsol-optimized structure of LaMg5. Source: Alexandria, functional meta-GGA SCAN.

The structure in POSCAR format:
```
LaMg5
1.0
-4.982 -3.342 0.078
-2.288 -1.853 5.228
-5.146 2.333 2.018
Mg La
5 1
Direct
0.250 0.250 0.250
0.625 0.124 0.625
0.625 0.625 0.124
0.625 0.625 0.625
0.124 0.625 0.625
0.000 0.000 0.000
```

DFT formation energy = -0.03 eV/atom
N(E_F) = 2.95 states/eV/cell
space-group type = No. 216
crystal system = cubic
total moment = 0.000 μB per atom
VASP energy = -11.36 eV per atom

5.
A PBEsol-optimized structure of La3Mg4. Source: Alexandria, functional meta-GGA SCAN.

The structure in POSCAR format:
```
La3Mg4
1.0
3.446 0.000 0.000
0.000 3.446 0.000
-1.723 -1.723 16.581
Mg La
4 3
Direct
0.867 0.867 0.734
0.133 0.133 0.266
0.574 0.574 0.148
0.426 0.426 0.852
0.000 0.000 0.000
0.708 0.708 0.416
0.292 0.292 0.584
```

DFT formation energy = -0.06 eV/atom
N(E_F) = 6.08 states/eV/cell
space-group type = No. 139
crystal system = tetragonal
total moment = 0.010 μB per atom
VASP energy = -21.38 eV per atom

6.
A PBEsol-optimized structure of La4Mg3. Source: Alexandria, functional meta-GGA SCAN.

The structure in POSCAR format:
```
La4Mg3
1.0
-2.374 2.606 0.551
-2.498 -1.922 -1.674
-1.852 -7.284 14.924
Mg La
3 4
Direct
0.000 0.000 0.000
0.723 0.723 0.445
0.277 0.277 0.555
0.850 0.850 0.699
0.150 0.150 0.301
0.571 0.571 0.142
0.429 0.429 0.858
```

DFT formation energy = -0.05 eV/atom
N(E_F) = 7.45 states/eV/cell
space-group type = No. 139
crystal system = tetragonal
total moment = 0.016 μB per atom
VASP energy = -26.81 eV per atom

7.
A PBEsol-optimized structure of La2Mg. Source: Alexandria, functional meta-GGA SCAN.

The structure in POSCAR format:
```
La2Mg
1.0
5.522 0.000 0.000
0.000 6.915 0.000
0.000 0.000 10.035
La Mg
8 4
Direct
0.750 0.484 0.713
0.250 0.016 0.213
0.750 0.984 0.787
0.250 0.516 0.287
0.750 0.316 0.076
0.250 0.184 0.576
0.750 0.816 0.424
0.250 0.684 0.924
0.750 0.799 0.096
0.250 0.701 0.596
0.750 0.299 0.404
0.250 0.201 0.904
```

DFT formation energy = -0.05 eV/atom
N(E_F) = 12.07 states/eV/cell
space-group type = No. 62
crystal system = orthorhombic
total moment = 0.000 μB per atom
offset from the most stable computed form = 40 meV/atom
VASP energy = -30.45 eV per atom

8.
A PBEsol-optimized structure of LaMg. Source: Alexandria, functional meta-GGA SCAN.

The structure in POSCAR format:
```
LaMg
1.0
3.428 0.000 0.000
0.000 5.196 0.000
-1.714 0.000 6.589
Mg La
2 2
Direct
0.939 0.750 0.878
0.061 0.250 0.122
0.673 0.750 0.346
0.327 0.250 0.654
```

DFT formation energy = -0.09 eV/atom
N(E_F) = 3.60 states/eV/cell
space-group type = No. 63
crystal system = orthorhombic
total moment = 0.031 μB per atom
offset from the most stable computed form = 49 meV/atom
VASP energy = -24.13 eV per atom